(1)
The following is a DFT calculation (PBE) of crystalline Hf2NbCl at its relaxed geometry.

a b c (Å): 3.208 6.401 9.226
angles (deg): 109.36 95.91 96.08
Space group P-1 (No. 2)
Inequivalent atoms, fractional coordinates:
Hf1 0.069 0.086 0.193 (multiplicity 2)
Hf2 0.190 0.622 0.255 (multiplicity 2)
Nb1 0.429 0.716 0.992 (multiplicity 2)
Cl1 0.224 0.255 0.504 (multiplicity 2)

Summary:
* magnetization: 0.0 μB per formula unit
* formation energy (no corrections): -0.36 eV per atom

=====

(2)
The following is a DFT calculation (PBE) of crystalline Hf2NbCl at its relaxed geometry.

a b c (Å): 11.195 3.453 9.332
angles (deg): 90.00 103.35 90.00
Space group Cm (No. 8)
Inequivalent atoms, fractional coordinates:
Hf1 0.000 0.000 0.000 (multiplicity 2)
Hf2 0.104 0.000 0.544 (multiplicity 2)
Hf3 0.239 0.500 0.093 (multiplicity 2)
Hf4 0.354 0.500 0.660 (multiplicity 2)
Nb1 0.067 0.500 0.778 (multiplicity 2)
Nb2 0.273 0.000 0.865 (multiplicity 2)
Cl1 0.210 0.500 0.391 (multiplicity 2)
Cl2 0.456 0.500 0.271 (multiplicity 2)

Summary:
* magnetization: 0.0 μB per formula unit
* formation energy (no corrections): -0.36 eV per atom

=====

(3)
The following is a DFT calculation (PBE) of crystalline Hf3NbCl at its relaxed geometry.

a b c (Å): 4.715 4.715 4.715
angles (deg): 90.00 90.00 90.00
Space group Pm-3m (No. 221)
Inequivalent atoms, fractional coordinates:
Hf1 0.000 0.000 0.500 (multiplicity 3)
Nb1 0.500 0.500 0.500 (multiplicity 1)
Cl1 0.000 0.000 0.000 (multiplicity 1)

Summary:
* magnetization: 0.0 μB per formula unit
* formation energy (no corrections): 0.21 eV per atom

=====

(4)
The following is a DFT calculation (PBE) of crystalline Hf2NbCl at its relaxed geometry.

a b c (Å): 6.422 7.891 3.499
angles (deg): 90.00 90.00 90.00
Space group Pmma (No. 51)
Inequivalent atoms, fractional coordinates:
Hf1 0.000 0.212 0.000 (multiplicity 4)
Nb1 0.250 0.000 0.500 (multiplicity 2)
Cl1 0.250 0.500 0.004 (multiplicity 2)

Summary:
* magnetization: 0.0 μB per formula unit
* formation energy (no corrections): -0.36 eV per atom